No. 1
{"formula": "ZrPa2Se5", "functional": "PBE-GGA", "state": "relaxed", "space_group": "No. 63", "magmom_total_mub_per_cell": 4.88, "vol_a3_per_atom": 29.15, "formation_energy_uncorrected_ev_per_atom": -1.25, "lattice_angstrom": [[2.807, -6.336, 0.000], [2.807, 6.336, 0.000], [0.000, 0.000, 13.114]], "species": ["Zr", "Zr", "Pa", "Pa", "Pa", "Pa", "Se", "Se", "Se", "Se", "Se", "Se", "Se", "Se", "Se", "Se"], "frac_coords": [[0.224, 0.776, 0.750], [0.776, 0.224, 0.250], [0.156, 0.844, 0.061], [0.156, 0.844, 0.439], [0.844, 0.156, 0.561], [0.844, 0.156, 0.939], [0.052, 0.948, 0.626], [0.052, 0.948, 0.874], [0.271, 0.729, 0.250], [0.344, 0.656, 0.572], [0.344, 0.656, 0.928], [0.656, 0.344, 0.072], [0.656, 0.344, 0.428], [0.729, 0.271, 0.750], [0.948, 0.052, 0.126], [0.948, 0.052, 0.374]]}

=====

No. 2
{"formula": "ZrPaSe2", "functional": "PBE-GGA", "state": "relaxed", "space_group": "No. 160", "e_above_lowest_polymorph_mev_per_atom": 0, "magmom_total_mub_per_cell": 0.00, "vol_a3_per_atom": 22.34, "formation_energy_uncorrected_ev_per_atom": -1.12, "lattice_angstrom": [[1.890, 1.091, 7.217], [-1.890, 1.091, 7.217], [0.000, -2.183, 7.217]], "species": ["Zr", "Pa", "Se", "Se"], "frac_coords": [[0.000, 0.000, 0.000], [0.826, 0.826, 0.826], [0.406, 0.406, 0.406], [0.585, 0.585, 0.585]]}

=====

No. 3
{"formula": "ZrPa2Se8", "functional": "PBE-GGA", "state": "relaxed", "space_group": "No. 164", "magmom_total_mub_per_cell": 0.00, "vol_a3_per_atom": 31.35, "formation_energy_uncorrected_ev_per_atom": -0.78, "lattice_angstrom": [[8.535, 0.000, 0.000], [-4.268, 7.392, 0.000], [0.000, 0.000, 5.466]], "species": ["Zr", "Pa", "Pa", "Se", "Se", "Se", "Se", "Se", "Se", "Se", "Se"], "frac_coords": [[0.000, 0.000, 0.000], [0.333, 0.667, 0.262], [0.667, 0.333, 0.738], [0.150, 0.300, 0.273], [0.150, 0.850, 0.273], [0.300, 0.150, 0.727], [0.333, 0.667, 0.762], [0.667, 0.333, 0.238], [0.700, 0.850, 0.273], [0.850, 0.150, 0.727], [0.850, 0.700, 0.727]]}

=====

No. 4
{"formula": "Pa2Si", "functional": "PBE-GGA", "state": "relaxed", "space_group": "No. 12", "magmom_total_mub_per_cell": 0.00, "vol_a3_per_atom": 22.37, "formation_energy_uncorrected_ev_per_atom": -0.22, "lattice_angstrom": [[2.714, -2.716, 0.000], [2.714, 2.716, 0.000], [-2.702, 0.000, 4.552]], "species": ["Pa", "Pa", "Si"], "frac_coords": [[0.148, 0.148, 0.297], [0.852, 0.852, 0.703], [0.500, 0.500, 0.000]]}

=====

No. 5
{"formula": "PaSi3", "functional": "PBE-GGA", "state": "relaxed", "space_group": "No. 194", "e_above_lowest_polymorph_mev_per_atom": 10, "magmom_total_mub_per_cell": 0.00, "vol_a3_per_atom": 17.01, "formation_energy_uncorrected_ev_per_atom": -0.41, "lattice_angstrom": [[5.907, 0.000, 0.000], [-2.954, 5.116, 0.000], [0.000, 0.000, 4.503]], "species": ["Pa", "Pa", "Si", "Si", "Si", "Si", "Si", "Si"], "frac_coords": [[0.333, 0.667, 0.250], [0.667, 0.333, 0.750], [0.144, 0.288, 0.750], [0.144, 0.856, 0.750], [0.288, 0.144, 0.250], [0.712, 0.856, 0.750], [0.856, 0.144, 0.250], [0.856, 0.712, 0.250]]}

=====

No. 6
{"formula": "PaSi2", "functional": "PBE-GGA", "state": "relaxed", "space_group": "No. 12", "e_above_lowest_polymorph_mev_per_atom": 309, "magmom_total_mub_per_cell": 0.00, "vol_a3_per_atom": 20.33, "formation_energy_uncorrected_ev_per_atom": -0.23, "lattice_angstrom": [[2.766, -2.853, 0.000], [2.766, 2.853, 0.000], [-1.623, 0.000, 3.865]], "species": ["Pa", "Si", "Si"], "frac_coords": [[0.000, 0.000, 0.000], [0.401, 0.401, 0.705], [0.599, 0.599, 0.295]]}